Record 1
A plane-wave DFT calculation with GGA-PBE was carried out for a geometry-optimized Al2RuAu structure.

Summary:
- M_tot: 0.00 Bohr magnetons per cell
- ΔH_f (0 K): 0.041 eV/atom
- Symmetry: Cmm2, No. 35

Lattice parameters (Å, degrees): 2.822 2.822 8.698 90.00 90.00 112.82
Fractional coordinates of all 4 atoms:
Al  0.000  0.000  0.987
Al  0.500  0.500  0.247
Ru  0.500  0.500  0.772
Au  0.000  0.000  0.494


Record 2
A plane-wave DFT calculation with GGA-PBE was carried out for a geometry-optimized ZrZn11Ag structure.

Summary:
- M_tot: 0.00 Bohr magnetons per cell
- ΔH_f (0 K): -0.096 eV/atom
- Symmetry: C2/m, No. 12

Lattice parameters (Å, degrees): 5.261 6.764 6.720 81.21 66.96 67.01
Fractional coordinates of all 13 atoms:
Zn  0.000  0.500  0.000
Zn  0.495  0.209  0.787
Zn  0.994  0.651  0.354
Zn  0.719  0.791  0.787
Zn  0.348  0.651  0.646
Zn  0.000  0.000  0.500
Zn  0.006  0.349  0.646
Zn  0.505  0.791  0.213
Zn  0.281  0.209  0.213
Zn  0.652  0.349  0.354
Zn  0.500  0.000  0.500
Ag  0.500  0.500  0.000
Zr  0.000  0.000  0.000


Record 3
A plane-wave DFT calculation with GGA-PBE was carried out for a geometry-optimized In2RuPt structure.

Summary:
- M_tot: 0.50 Bohr magnetons per cell
- ΔH_f (0 K): 0.173 eV/atom
- Symmetry: F-43m, No. 216

Lattice parameters (Å, degrees): 4.662 4.662 4.662 60.00 60.00 60.00
Each line ends with the local moment (μB).
Fractional coordinates of all 4 atoms:
In  0.000  0.000  0.000  -0.01
In  0.250  0.250  0.250  0.01
Ru  0.750  0.750  0.750  0.44
Pt  0.500  0.500  0.500  0.03


Record 4
A plane-wave DFT calculation with GGA-PBE was carried out for a geometry-optimized Tl2AgSn6 structure.

Summary:
- M_tot: 0.00 Bohr magnetons per cell
- ΔH_f (0 K): 0.058 eV/atom
- Symmetry: P6/mmm, No. 191
- Excess energy over the best structure of this formula in the dataset: 0.026 eV per atom

Lattice parameters (Å, degrees): 3.145 9.545 9.545 59.99 89.96 89.96
Fractional coordinates of all 9 atoms:
Ag  0.000  0.000  0.000
Sn  0.501  0.000  0.320
Sn  0.500  0.680  0.320
Sn  0.500  0.320  0.680
Sn  0.499  0.680  0.000
Sn  0.501  0.320  0.000
Sn  0.499  0.000  0.680
Tl  0.000  0.667  0.667
Tl  0.000  0.333  0.333


Record 5
A plane-wave DFT calculation with GGA-PBE was carried out for a geometry-optimized Ta2P2Os structure.

Summary:
- M_tot: 0.00 Bohr magnetons per cell
- ΔH_f (0 K): -0.340 eV/atom
- Symmetry: P4/mbm, No. 127

Lattice parameters (Å, degrees): 6.707 6.707 3.287 90.00 90.00 90.00
Fractional coordinates of all 10 atoms:
Os  0.500  0.500  0.000
Os  0.000  0.000  0.000
Ta  0.349  0.151  0.500
Ta  0.849  0.349  0.500
Ta  0.151  0.651  0.500
Ta  0.651  0.849  0.500
P  0.150  0.350  0.000
P  0.350  0.850  0.000
P  0.850  0.650  0.000
P  0.650  0.150  0.000


Record 6
A plane-wave DFT calculation with GGA-PBE was carried out for a geometry-optimized Pm5Ga2As structure.

Summary:
- M_tot: 1.93 Bohr magnetons per cell
- ΔH_f (0 K): -0.637 eV/atom
- Symmetry: I4/mcm, No. 140

Lattice parameters (Å, degrees): 7.924 7.924 8.846 116.61 116.61 90.00
Each line ends with the local moment (μB).
Fractional coordinates of all 16 atoms:
Pm  0.500  0.500  0.000  0.23
Pm  0.681  0.181  0.701  0.07
Pm  0.020  0.520  0.701  0.07
Pm  0.319  0.819  0.299  0.07
Pm  0.000  0.000  0.000  0.23
Pm  0.819  0.980  0.299  0.07
Pm  0.181  0.020  0.701  0.07
Pm  0.520  0.681  0.701  0.07
Pm  0.480  0.319  0.299  0.07
Pm  0.980  0.480  0.299  0.07
Ga  0.878  0.622  0.000  0.00
Ga  0.378  0.878  0.000  0.00
Ga  0.622  0.122  0.000  0.00
Ga  0.122  0.378  0.000  0.00
As  0.250  0.250  0.500  -0.01
As  0.750  0.750  0.500  -0.01